No. 1
The following is a PBE+U calculation of a relaxed structure of PmMn2IrO6, from the Alexandria database.

Its density of states at the Fermi level is 9.40 states/eV/cell. The value obtained for the energy is -7.56 eV/atom. The size of the total moment comes out at 8.0 μB per formula unit. The value obtained for the calculated density is 7.15 g/cm3.

The space group is R3 (No. 146, hexagonal axes) and the conventional cell measures 5.4582, 5.4582 and 14.6648 Å, with angles of 90.00, 90.00 and 120.00 degrees. Symmetry generates all atoms from Pm at (0.0000, 0.0000, 0.0000), Mn at (0.0000, 0.0000, 0.2108), Mn at (0.0000, 0.0000, 0.7269), Ir at (0.0000, 0.0000, 0.5212), O at (0.0027, 0.3521, 0.7862) and O at (0.0693, 0.7004, 0.2764).

=====

No. 2
The following is a PBE+U calculation of a relaxed structure of Pm2MnIrO8, from the Alexandria database.

Its density of states at the Fermi level is 4.99 states/eV/cell. The value obtained for the energy is -7.35 eV/atom. The size of the total moment comes out at 2.9 μB per formula unit. The value obtained for the calculated density is 6.84 g/cm3.

The space group is P-1 (No. 2) and the conventional cell measures 4.5984, 5.0531 and 6.9861 Å, with angles of 92.70, 91.56 and 95.19 degrees. Symmetry generates all atoms from Pm at (0.1101, 0.0085, 0.2523), Mn at (0.5000, 0.5000, 0.0000), Ir at (0.5000, 0.5000, 0.5000), O at (0.1603, 0.2823, 0.5410), O at (0.2190, 0.2041, 0.9718), O at (0.3335, 0.6010, 0.2498) and O at (0.3629, 0.7928, 0.6490).

=====

No. 3
The following is a PBE+U calculation of a relaxed structure of PmMnIrO6, from the Alexandria database.

Its density of states at the Fermi level is 7.53 states/eV/cell. The value obtained for the energy is -7.16 eV/atom. The size of the total moment comes out at 3.0 μB per formula unit. The value obtained for the calculated density is 7.03 g/cm3.

The space group is P-31c (No. 163) and the conventional cell measures 5.5493, 5.5493 and 8.6439 Å, with angles of 90.00, 90.00 and 120.00 degrees. Symmetry generates all atoms from Pm at (0.3333, 0.6667, 0.2500), Mn at (0.0000, 0.0000, 0.0000), Ir at (0.3333, 0.6667, 0.7500) and O at (0.0538, 0.3698, 0.6233).

=====

No. 4
The following is a PBE+U calculation of a relaxed structure of Pr2MnIrO6, from the Alexandria database.

Its density of states at the Fermi level is 5.21 states/eV/cell. The value obtained for the energy is -7.63 eV/atom. The size of the total moment comes out at 4.0 μB per formula unit. The value obtained for the calculated density is 7.92 g/cm3.

The space group is Pmmn (No. 59, origin choice 2) and the conventional cell measures 5.6284, 7.9629 and 5.8462 Å, with angles of 90.00, 90.00 and 90.00 degrees. Symmetry generates all atoms from Pr at (0.2500, 0.0268, 0.2154), Mn at (0.2500, 0.7500, 0.7461), Ir at (0.2500, 0.2500, 0.7361), O at (0.0166, 0.2500, 0.0025), O at (0.0276, 0.2500, 0.4672) and O at (0.2500, 0.0017, 0.7893).